Entry 1:
Rb4Au6S5 | GGA-PBE | relaxed

Computed properties:
Final energy ... -3.596 eV per atom
Space group ... No. 190

Cell lengths 10.1378, 10.1378, 10.2182 Å; angles 90.00, 90.00, 120.00 degrees
Sites, in units of the cell vectors:
Au 0.1712 0.7170 0.0922
Au 0.5458 0.8288 0.0922
Au 0.2830 0.4542 0.0922
Au 0.2830 0.4542 0.4078
Au 0.1712 0.7170 0.4078
Au 0.5458 0.8288 0.4078
Au 0.7170 0.1712 0.5922
Au 0.8288 0.5458 0.5922
Au 0.4542 0.2830 0.5922
Au 0.7170 0.1712 0.9078
Au 0.4542 0.2830 0.9078
Au 0.8288 0.5458 0.9078
Rb 0.0000 0.0000 0.0000
Rb 0.4200 0.0750 0.2500
Rb 0.9251 0.3450 0.2500
Rb 0.6550 0.5800 0.2500
Rb 0.0000 0.0000 0.5000
Rb 0.0750 0.4200 0.7500
Rb 0.5800 0.6550 0.7500
Rb 0.3450 0.9251 0.7500
S 0.6667 0.3333 0.0376
S 0.2286 0.2669 0.2500
S 0.0384 0.7714 0.2500
S 0.7331 0.9616 0.2500
S 0.6667 0.3333 0.4624
S 0.3333 0.6667 0.5376
S 0.7714 0.0384 0.7500
S 0.2669 0.2286 0.7500
S 0.9616 0.7331 0.7500
S 0.3333 0.6667 0.9624


Entry 2:
RbAuS | GGA-PBE | relaxed

Computed properties:
Final energy ... -3.424 eV per atom
Space group ... No. 70

Cell lengths 8.4903, 8.0400, 7.8527 Å; angles 64.57, 58.78, 56.65 degrees
Sites, in units of the cell vectors:
Au 0.6250 0.6250 0.1250
Au 0.6250 0.1250 0.6250
Au 0.1250 0.6250 0.6250
Au 0.6250 0.6250 0.6250
Rb 0.3953 0.3953 0.1047
Rb 0.8547 0.8547 0.1453
Rb 0.1047 0.1047 0.3953
Rb 0.1453 0.1453 0.8547
S 0.7276 0.2724 0.2724
S 0.9776 0.5224 0.5224
S 0.2724 0.7276 0.7276
S 0.5224 0.9776 0.9776


Entry 3:
RbSb2Au3S5 | GGA-PBE | relaxed

Computed properties:
Final energy ... -3.989 eV per atom
Space group ... No. 58

Cell lengths 12.7589, 26.5100, 7.1350 Å; angles 90.00, 90.00, 90.00 degrees
Sites, in units of the cell vectors:
Au 0.7311 0.2128 0.0000
Au 0.1938 0.3190 0.0000
Au 0.8062 0.6810 0.0000
Au 0.2689 0.7872 0.0000
Au 0.6848 0.3068 0.2463
Au 0.3152 0.6932 0.2463
Au 0.9860 0.2667 0.2490
Au 0.0140 0.7333 0.2490
Au 0.4860 0.2333 0.2510
Au 0.5140 0.7667 0.2510
Au 0.1848 0.1932 0.2537
Au 0.8152 0.8068 0.2537
Au 0.6938 0.1810 0.5000
Au 0.2311 0.2872 0.5000
Au 0.7689 0.7128 0.5000
Au 0.3062 0.8190 0.5000
Au 0.1848 0.1932 0.7463
Au 0.8152 0.8068 0.7463
Au 0.4860 0.2333 0.7490
Au 0.5140 0.7667 0.7490
Au 0.9860 0.2667 0.7510
Au 0.0140 0.7333 0.7510
Au 0.6848 0.3068 0.7537
Au 0.3152 0.6932 0.7537
Rb 0.6612 0.0692 0.0000
Rb 0.6794 0.4838 0.0000
Rb 0.3206 0.5162 0.0000
Rb 0.3388 0.9308 0.0000
Rb 0.1794 0.0162 0.5000
Rb 0.1612 0.4308 0.5000
Rb 0.8388 0.5692 0.5000
Rb 0.8206 0.9838 0.5000
S 0.1627 0.0492 0.0000
S 0.5550 0.1871 0.0000
S 0.9135 0.2210 0.0000
S 0.2586 0.2367 0.0000
S 0.6333 0.3592 0.0000
S 0.1393 0.4030 0.0000
S 0.8607 0.5970 0.0000
S 0.3667 0.6408 0.0000
S 0.7414 0.7633 0.0000
S 0.0865 0.7790 0.0000
S 0.4450 0.8129 0.0000
S 0.8373 0.9508 0.0000
S 0.4069 0.0538 0.2495
S 0.5931 0.9462 0.2495
S 0.9128 0.0881 0.2497
S 0.0872 0.9119 0.2497
S 0.4128 0.4119 0.2503
S 0.5872 0.5881 0.2503
S 0.9069 0.4462 0.2505
S 0.0931 0.5538 0.2505
S 0.6393 0.0970 0.5000
S 0.1333 0.1408 0.5000
S 0.7586 0.2633 0.5000
S 0.4135 0.2790 0.5000
S 0.0550 0.3129 0.5000
S 0.6627 0.4508 0.5000
S 0.3373 0.5492 0.5000
S 0.9450 0.6871 0.5000
S 0.5865 0.7210 0.5000
S 0.2414 0.7367 0.5000
S 0.8667 0.8592 0.5000
S 0.3607 0.9030 0.5000
S 0.9069 0.4462 0.7495
S 0.0931 0.5538 0.7495
S 0.4128 0.4119 0.7497
S 0.5872 0.5881 0.7497
S 0.9128 0.0881 0.7503
S 0.0872 0.9119 0.7503
S 0.4069 0.0538 0.7505
S 0.5931 0.9462 0.7505
Sb 0.3181 0.1051 0.0000
Sb 0.0324 0.1246 0.0000
Sb 0.4305 0.3468 0.0000
Sb 0.9522 0.3830 0.0000
Sb 0.0478 0.6170 0.0000
Sb 0.5695 0.6532 0.0000
Sb 0.9676 0.8754 0.0000
Sb 0.6819 0.8949 0.0000
Sb 0.4522 0.1170 0.5000
Sb 0.9305 0.1532 0.5000
Sb 0.5324 0.3754 0.5000
Sb 0.8181 0.3949 0.5000
Sb 0.1819 0.6051 0.5000
Sb 0.4676 0.6246 0.5000
Sb 0.0695 0.8468 0.5000
Sb 0.5478 0.8830 0.5000


Entry 4:
RbAuSe8S2 | GGA-PBE | relaxed

Computed properties:
Final energy ... -3.514 eV per atom
Space group ... No. 2

Cell lengths 6.1337, 8.4042, 9.2122 Å; angles 73.71, 71.46, 82.84 degrees
Sites, in units of the cell vectors:
Au 0.0000 0.5000 0.5000
Rb 0.5000 0.0000 0.5000
S 0.7288 0.5896 0.3505
S 0.2712 0.4104 0.6495
Se 0.8627 0.2841 0.0659
Se 0.8884 0.8013 0.1607
Se 0.0648 0.1763 0.2567
Se 0.2756 0.3740 0.2870
Se 0.7244 0.6260 0.7130
Se 0.9352 0.8237 0.7433
Se 0.1116 0.1987 0.8393
Se 0.1373 0.7159 0.9341